VASP calculation (meta-GGA SCAN) on a PBEsol-optimized structure of Ti3Si.

a b c (Å): 10.037 10.037 5.012
angles (deg): 90.00 90.00 90.00
Fractional positions:
Ti1 0.033 0.567 0.247
Ti2 0.067 0.967 0.747
Ti3 0.108 0.222 0.033
Ti4 0.143 0.669 0.717
Ti5 0.169 0.857 0.217
Ti6 0.222 0.392 0.467
Ti7 0.278 0.108 0.467
Ti8 0.331 0.643 0.217
Ti9 0.357 0.831 0.717
Ti10 0.392 0.278 0.033
Ti11 0.433 0.533 0.747
Ti12 0.467 0.933 0.247
Ti13 0.533 0.067 0.753
Ti14 0.567 0.467 0.253
Ti15 0.608 0.722 0.967
Ti16 0.643 0.169 0.283
Ti17 0.669 0.357 0.783
Ti18 0.722 0.892 0.533
Ti19 0.778 0.608 0.533
Ti20 0.831 0.143 0.783
Ti21 0.857 0.331 0.283
Ti22 0.892 0.778 0.967
Ti23 0.933 0.033 0.253
Ti24 0.967 0.433 0.753
Si1 0.045 0.208 0.539
Si2 0.208 0.455 0.961
Si3 0.292 0.045 0.961
Si4 0.455 0.292 0.539
Si5 0.545 0.708 0.461
Si6 0.708 0.955 0.039
Si7 0.792 0.545 0.039
Si8 0.955 0.792 0.461

Summary:
Total moment (μB per formula unit): 0.00
V (Å³/f.u.): 63.1
Raw formation energy (meV per atom): -503